(1)
VASP calculation (PBE) on Mg5Ru after structural relaxation.

Summary:
The calculation puts the formation energy at 0.0054 eV per atom. Its space group is Cmmm, No. 65.

Unit cell a=6.430 b=6.430 c=4.407 alpha=90.00 beta=90.00 gamma=140.68
Element x y z (fractional)
Mg 0.000 0.000 0.000
Mg 0.153 0.847 0.500
Mg 0.347 0.653 0.000
Mg 0.653 0.347 0.000
Mg 0.847 0.153 0.500
Ru 0.500 0.500 0.500

***

(2)
VASP calculation (PBE) on Pr4DyCd after structural relaxation.

Summary:
The calculation puts the formation energy at -0.0006 eV per atom. Its space group is C2/c, No. 15.

Unit cell a=8.579 b=8.579 c=6.465 alpha=100.13 beta=100.13 gamma=116.34
Element x y z (fractional)
Pr 0.093 0.711 0.953
Pr 0.171 0.403 0.625
Pr 0.289 0.907 0.547
Pr 0.403 0.171 0.125
Pr 0.597 0.829 0.875
Pr 0.711 0.093 0.453
Pr 0.829 0.597 0.375
Pr 0.907 0.289 0.047
Dy 0.412 0.588 0.250
Dy 0.588 0.412 0.750
Cd 0.001 0.999 0.250
Cd 0.999 0.001 0.750

***

(3)
VASP calculation (PBE) on CaReTe4 after structural relaxation.

Summary:
For the formation energy from raw total energies, the calculation gives 854 meV/atom. Its space group is F-43m, No. 216.

Unit cell a=6.364 b=6.364 c=6.364 alpha=60.00 beta=60.00 gamma=60.00
Element x y z (fractional)
Ca 0.000 0.000 0.000
Re 0.750 0.750 0.750
Te 0.375 0.375 0.375
Te 0.375 0.375 0.874
Te 0.375 0.874 0.375
Te 0.874 0.375 0.375

***

no.,magnetic moment (μB per formula unit)
1,0.0
2,0.0
3,4.9